This record from the Alexandria database describes crystalline VCd2GaO6 at its relaxed geometry. The functional is GGA+U.

Computed properties:
volume	11.1	Å³/atom
E_tot	-5.67	eV per atom
SG	P2_1/c

a = 5.335 Å, b = 5.426 Å, c = 7.643 Å
α = 90.00°, β = 90.20°, γ = 90.00°
Positions (direct):
1 V 0.500 0.000 0.500
2 V 0.000 0.500 0.000
3 Cd 0.008 0.961 0.249
4 Cd 0.508 0.539 0.749
5 Cd 0.992 0.039 0.751
6 Cd 0.492 0.461 0.251
7 Ga 0.500 0.000 0.000
8 Ga 0.000 0.500 0.500
9 O 0.290 0.699 0.045
10 O 0.790 0.801 0.545
11 O 0.710 0.301 0.955
12 O 0.210 0.199 0.455
13 O 0.305 0.712 0.452
14 O 0.805 0.788 0.952
15 O 0.695 0.288 0.548
16 O 0.195 0.212 0.048
17 O 0.910 0.528 0.244
18 O 0.410 0.972 0.744
19 O 0.090 0.472 0.756
20 O 0.590 0.028 0.256